Model w:
# PBE-GGA BaTa2Cd, relaxed
data_BaTa2Cd
_cell_length_a 3.0617
_cell_length_b 3.0617
_cell_length_c 34.5361
_cell_angle_alpha 90.00
_cell_angle_beta 90.00
_cell_angle_gamma 120.00
_symmetry_space_group_name_H-M 'R -3 m'
_symmetry_Int_Tables_number 166
_symmetry_space_group_name_Hall '-R 3 2"'
loop_
_atom_site_label
_atom_site_type_symbol
_atom_site_fract_x
_atom_site_fract_y
_atom_site_fract_z
Ba1 Ba 0.0000 0.0000 0.0000
Ta1 Ta 0.0000 0.0000 0.2398
Cd1 Cd 0.0000 0.0000 0.5000
# - DOS at the Fermi energy (states/eV/cell) = 18.6
# - crystal system = trigonal


Model x:
# PBE-GGA BaTa2Cd, relaxed
data_BaTa2Cd
_cell_length_a 3.1442
_cell_length_b 5.8866
_cell_length_c 11.2474
_cell_angle_alpha 90.00
_cell_angle_beta 90.00
_cell_angle_gamma 90.00
_symmetry_space_group_name_H-M 'I m m 2'
_symmetry_Int_Tables_number 44
_symmetry_space_group_name_Hall 'I 2 -2'
loop_
_atom_site_label
_atom_site_type_symbol
_atom_site_fract_x
_atom_site_fract_y
_atom_site_fract_z
Ba1 Ba 0.0000 0.0000 0.0000
Ta1 Ta 0.0000 0.0000 0.5279
Ta2 Ta 0.0000 0.5000 0.2152
Cd1 Cd 0.0000 0.5000 0.7889
# - DOS at the Fermi energy (states/eV/cell) = 9.0
# - crystal system = orthorhombic


Decreasing stability: model x, model w


Model w:
# PBE-GGA BaTa2Cd, relaxed
data_BaTa2Cd
_cell_length_a 3.0287
_cell_length_b 3.0287
_cell_length_c 10.4099
_cell_angle_alpha 90.00
_cell_angle_beta 90.00
_cell_angle_gamma 90.00
_symmetry_space_group_name_H-M 'P 4 m m'
_symmetry_Int_Tables_number 99
_symmetry_space_group_name_Hall 'P 4 -2'
loop_
_atom_site_label
_atom_site_type_symbol
_atom_site_fract_x
_atom_site_fract_y
_atom_site_fract_z
Ba1 Ba 0.0000 0.0000 0.0000
Ta1 Ta 0.0000 0.0000 0.5009
Ta2 Ta 0.5000 0.5000 0.6997
Cd1 Cd 0.5000 0.5000 0.2846
# - DOS at the Fermi energy (states/eV/cell) = 5.0
# - crystal system = tetragonal


Model x:
# PBE-GGA BaTa2Cd, relaxed
data_BaTa2Cd
_cell_length_a 4.9654
_cell_length_b 4.9654
_cell_length_c 21.0841
_cell_angle_alpha 90.00
_cell_angle_beta 90.00
_cell_angle_gamma 90.00
_symmetry_space_group_name_H-M 'I -4 2 d'
_symmetry_Int_Tables_number 122
_symmetry_space_group_name_Hall 'I -4 2bw'
loop_
_atom_site_label
_atom_site_type_symbol
_atom_site_fract_x
_atom_site_fract_y
_atom_site_fract_z
Ba1 Ba 0.0000 0.0000 0.0000
Ta1 Ta 0.0350 0.7500 0.6250
Cd1 Cd 0.0000 0.0000 0.5000
# - DOS at the Fermi energy (states/eV/cell) = 16.6
# - crystal system = tetragonal


Model y:
# PBE-GGA BaTa2Cd, relaxed
data_BaTa2Cd
_cell_length_a 3.5130
_cell_length_b 3.5374
_cell_length_c 8.3874
_cell_angle_alpha 90.00
_cell_angle_beta 90.00
_cell_angle_gamma 90.00
_symmetry_space_group_name_H-M 'P m m 2'
_symmetry_Int_Tables_number 25
_symmetry_space_group_name_Hall 'P 2 -2'
loop_
_atom_site_label
_atom_site_type_symbol
_atom_site_fract_x
_atom_site_fract_y
_atom_site_fract_z
Ba1 Ba 0.0000 0.0000 0.0000
Ta1 Ta 0.0000 0.0000 0.4593
Ta2 Ta 0.5000 0.5000 0.3192
Cd1 Cd 0.5000 0.5000 0.6789
# - DOS at the Fermi energy (states/eV/cell) = 3.7
# - crystal system = orthorhombic


Decreasing stability: model y, model w, model x


Model w:
# PBE-GGA BaTa2Cd, relaxed
data_BaTa2Cd
_cell_length_a 3.0358
_cell_length_b 5.2739
_cell_length_c 6.6994
_cell_angle_alpha 90.00
_cell_angle_beta 96.95
_cell_angle_gamma 90.00
_symmetry_space_group_name_H-M 'P 1 2/m 1'
_symmetry_Int_Tables_number 10
_symmetry_space_group_name_Hall '-P 2y'
loop_
_atom_site_label
_atom_site_type_symbol
_atom_site_fract_x
_atom_site_fract_y
_atom_site_fract_z
Ba1 Ba 0.0000 0.0000 0.0000
Ta1 Ta 0.2904 0.5000 0.6642
Cd1 Cd 0.5000 0.0000 0.5000
# - DOS at the Fermi energy (states/eV/cell) = 4.6
# - crystal system = monoclinic


Model x:
# PBE-GGA BaTa2Cd, relaxed
data_BaTa2Cd
_cell_length_a 3.1899
_cell_length_b 4.2887
_cell_length_c 7.6621
_cell_angle_alpha 90.00
_cell_angle_beta 90.00
_cell_angle_gamma 90.00
_symmetry_space_group_name_H-M 'P m m m'
_symmetry_Int_Tables_number 47
_symmetry_space_group_name_Hall '-P 2 2'
loop_
_atom_site_label
_atom_site_type_symbol
_atom_site_fract_x
_atom_site_fract_y
_atom_site_fract_z
Ba1 Ba 0.0000 0.0000 0.0000
Ta1 Ta 0.5000 0.5000 0.3338
Cd1 Cd 0.0000 0.0000 0.5000
# - DOS at the Fermi energy (states/eV/cell) = 5.1
# - crystal system = orthorhombic


Decreasing stability: model w, model x


Model w:
# PBE-GGA BaTa2Cd, relaxed
data_BaTa2Cd
_cell_length_a 4.3888
_cell_length_b 4.3888
_cell_length_c 9.9770
_cell_angle_alpha 90.00
_cell_angle_beta 90.00
_cell_angle_gamma 90.00
_symmetry_space_group_name_H-M 'I 4/m m m'
_symmetry_Int_Tables_number 139
_symmetry_space_group_name_Hall '-I 4 2'
loop_
_atom_site_label
_atom_site_type_symbol
_atom_site_fract_x
_atom_site_fract_y
_atom_site_fract_z
Ba1 Ba 0.0000 0.0000 0.0000
Ta1 Ta 0.0000 0.5000 0.2500
Cd1 Cd 0.0000 0.0000 0.5000
# - DOS at the Fermi energy (states/eV/cell) = 9.5
# - crystal system = tetragonal


Model x:
# PBE-GGA BaTa2Cd, relaxed
data_BaTa2Cd
_cell_length_a 4.4207
_cell_length_b 4.4207
_cell_length_c 4.9233
_cell_angle_alpha 90.00
_cell_angle_beta 90.00
_cell_angle_gamma 90.00
_symmetry_space_group_name_H-M 'P 4/m m m'
_symmetry_Int_Tables_number 123
_symmetry_space_group_name_Hall '-P 4 2'
loop_
_atom_site_label
_atom_site_type_symbol
_atom_site_fract_x
_atom_site_fract_y
_atom_site_fract_z
Ba1 Ba 0.0000 0.0000 0.0000
Ta1 Ta 0.0000 0.5000 0.5000
Cd1 Cd 0.5000 0.5000 0.0000
# - DOS at the Fermi energy (states/eV/cell) = 5.0
# - crystal system = tetragonal


Decreasing stability: model w, model x


Model w:
# PBE-GGA BaTa2Cd, relaxed
data_BaTa2Cd
_cell_length_a 3.0967
_cell_length_b 5.4401
_cell_length_c 5.6195
_cell_angle_alpha 90.00
_cell_angle_beta 90.00
_cell_angle_gamma 90.00
_symmetry_space_group_name_H-M 'P m m m'
_symmetry_Int_Tables_number 47
_symmetry_space_group_name_Hall '-P 2 2'
loop_
_atom_site_label
_atom_site_type_symbol
_atom_site_fract_x
_atom_site_fract_y
_atom_site_fract_z
Ba1 Ba 0.0000 0.0000 0.0000
Ta1 Ta 0.0000 0.5000 0.5000
Ta2 Ta 0.5000 0.0000 0.5000
Cd1 Cd 0.5000 0.5000 0.0000
# - DOS at the Fermi energy (states/eV/cell) = 5.3
# - crystal system = orthorhombic


Model x:
# PBE-GGA BaTa2Cd, relaxed
data_BaTa2Cd
_cell_length_a 3.0147
_cell_length_b 3.0147
_cell_length_c 10.3359
_cell_angle_alpha 90.00
_cell_angle_beta 90.00
_cell_angle_gamma 90.00
_symmetry_space_group_name_H-M 'P 4/m m m'
_symmetry_Int_Tables_number 123
_symmetry_space_group_name_Hall '-P 4 2'
loop_
_atom_site_label
_atom_site_type_symbol
_atom_site_fract_x
_atom_site_fract_y
_atom_site_fract_z
Ba1 Ba 0.0000 0.0000 0.0000
Ta1 Ta 0.5000 0.5000 0.2926
Cd1 Cd 0.0000 0.0000 0.5000
# - DOS at the Fermi energy (states/eV/cell) = 4.2
# - crystal system = tetragonal


Decreasing stability: model x, model w


Model w:
# PBE-GGA BaTa2Cd, relaxed
data_BaTa2Cd
_cell_length_a 5.1055
_cell_length_b 5.1055
_cell_length_c 7.2132
_cell_angle_alpha 90.00
_cell_angle_beta 90.00
_cell_angle_gamma 90.00
_symmetry_space_group_name_H-M 'I -4 m 2'
_symmetry_Int_Tables_number 119
_symmetry_space_group_name_Hall 'I -4 -2'
loop_
_atom_site_label
_atom_site_type_symbol
_atom_site_fract_x
_atom_site_fract_y
_atom_site_fract_z
Ba1 Ba 0.0000 0.0000 0.0000
Ta1 Ta 0.0000 0.0000 0.5000
Ta2 Ta 0.0000 0.5000 0.2500
Cd1 Cd 0.0000 0.5000 0.7500
# - DOS at the Fermi energy (states/eV/cell) = 1.3
# - crystal system = tetragonal


Model x:
# PBE-GGA BaTa2Cd, relaxed
data_BaTa2Cd
_cell_length_a 11.4184
_cell_length_b 3.0634
_cell_length_c 5.9497
_cell_angle_alpha 90.00
_cell_angle_beta 100.77
_cell_angle_gamma 90.00
_symmetry_space_group_name_H-M 'C 1 2/m 1'
_symmetry_Int_Tables_number 12
_symmetry_space_group_name_Hall '-C 2y'
loop_
_atom_site_label
_atom_site_type_symbol
_atom_site_fract_x
_atom_site_fract_y
_atom_site_fract_z
Ba1 Ba 0.0000 0.0000 0.0000
Ta1 Ta 0.2230 0.0000 0.6710
Cd1 Cd 0.0000 0.5000 0.5000
# - DOS at the Fermi energy (states/eV/cell) = 5.0
# - crystal system = monoclinic


Model y:
# PBE-GGA BaTa2Cd, relaxed
data_BaTa2Cd
_cell_length_a 7.0971
_cell_length_b 7.0971
_cell_length_c 7.0971
_cell_angle_alpha 90.00
_cell_angle_beta 90.00
_cell_angle_gamma 90.00
_symmetry_space_group_name_H-M 'F m -3 m'
_symmetry_Int_Tables_number 225
_symmetry_space_group_name_Hall '-F 4 2 3'
loop_
_atom_site_label
_atom_site_type_symbol
_atom_site_fract_x
_atom_site_fract_y
_atom_site_fract_z
Ba1 Ba 0.0000 0.0000 0.0000
Ta1 Ta 0.2500 0.2500 0.2500
Cd1 Cd 0.0000 0.0000 0.5000
# - DOS at the Fermi energy (states/eV/cell) = 25.1
# - crystal system = cubic


Decreasing stability: model x, model w, model y